RbDyW2O8 at its PBEsol-relaxed geometry. Source: Alexandria via LeMat-Bulk, functional meta-GGA SCAN.

Formation energy from raw total energies ... -2.725 eV/atom
Volume ... 15.0 Å³ per atom
Symmetry ... No. 14
Total magnetic moment ... 0.00 μB per cell

Cell lengths 8.945, 10.262, 7.908 Å; angles 90.00, 98.53, 90.00 degrees
Atoms (fractional coordinates):
Rb (0.013, 0.216, 0.076)
Rb (0.013, 0.284, 0.576)
Rb (0.987, 0.716, 0.424)
Rb (0.987, 0.784, 0.924)
Dy (0.435, 0.226, 0.978)
Dy (0.435, 0.274, 0.478)
Dy (0.565, 0.726, 0.522)
Dy (0.565, 0.774, 0.022)
W (0.277, 0.514, 0.214)
W (0.277, 0.986, 0.714)
W (0.337, 0.513, 0.823)
W (0.337, 0.987, 0.323)
W (0.663, 0.013, 0.677)
W (0.663, 0.487, 0.177)
W (0.723, 0.014, 0.286)
W (0.723, 0.486, 0.786)
O (0.104, 0.593, 0.153)
O (0.104, 0.907, 0.653)
O (0.172, 0.591, 0.734)
O (0.172, 0.909, 0.234)
O (0.228, 0.123, 0.841)
O (0.228, 0.377, 0.341)
O (0.272, 0.100, 0.503)
O (0.272, 0.400, 0.003)
O (0.344, 0.140, 0.207)
O (0.344, 0.360, 0.707)
O (0.370, 0.620, 0.380)
O (0.370, 0.880, 0.880)
O (0.408, 0.602, 0.047)
O (0.408, 0.898, 0.547)
O (0.491, 0.607, 0.743)
O (0.491, 0.893, 0.243)
O (0.509, 0.107, 0.757)
O (0.509, 0.393, 0.257)
O (0.592, 0.102, 0.453)
O (0.592, 0.398, 0.953)
O (0.630, 0.120, 0.120)
O (0.630, 0.380, 0.620)
O (0.656, 0.640, 0.293)
O (0.656, 0.860, 0.793)
O (0.728, 0.600, 0.997)
O (0.728, 0.900, 0.497)
O (0.772, 0.623, 0.659)
O (0.772, 0.877, 0.159)
O (0.828, 0.091, 0.766)
O (0.828, 0.409, 0.266)
O (0.896, 0.093, 0.347)
O (0.896, 0.407, 0.847)


Dy3ReO7 at its PBEsol-relaxed geometry. Source: Alexandria via LeMat-Bulk, functional meta-GGA SCAN.

Formation energy from raw total energies ... -3.204 eV/atom
Volume ... 12.8 Å³ per atom
Symmetry ... No. 63
Total magnetic moment ... 4.00 μB per cell

Cell lengths 6.361, 6.361, 7.367 Å; angles 90.00, 90.00, 109.39 degrees
Atoms (fractional coordinates):
Dy (0.000, 0.000, 0.000)
Dy (0.000, 0.000, 0.500)
Dy (0.035, 0.500, 0.750)
Dy (0.500, 0.035, 0.250)
Dy (0.500, 0.965, 0.750)
Dy (0.965, 0.500, 0.250)
Re (0.500, 0.500, 0.000)
Re (0.500, 0.500, 0.500)
O (0.131, 0.869, 0.250)
O (0.136, 0.864, 0.750)
O (0.177, 0.424, 0.029)
O (0.177, 0.424, 0.471)
O (0.424, 0.177, 0.529)
O (0.424, 0.177, 0.971)
O (0.430, 0.570, 0.750)
O (0.570, 0.430, 0.250)
O (0.576, 0.823, 0.029)
O (0.576, 0.823, 0.471)
O (0.823, 0.576, 0.529)
O (0.823, 0.576, 0.971)
O (0.864, 0.136, 0.250)
O (0.869, 0.131, 0.750)


Dy2SO2 at its PBEsol-relaxed geometry. Source: Alexandria via LeMat-Bulk, functional meta-GGA SCAN.

Formation energy from raw total energies ... -3.540 eV/atom
Volume ... 16.1 Å³ per atom
Symmetry ... No. 194
Total magnetic moment ... 0.00 μB per cell

Cell lengths 3.749, 3.749, 13.191 Å; angles 90.00, 90.00, 120.00 degrees
Atoms (fractional coordinates):
Dy (0.333, 0.667, 0.108)
Dy (0.333, 0.667, 0.392)
Dy (0.667, 0.333, 0.608)
Dy (0.667, 0.333, 0.892)
S (0.000, 0.000, 0.250)
S (0.000, 0.000, 0.750)
O (0.333, 0.667, 0.565)
O (0.333, 0.667, 0.935)
O (0.667, 0.333, 0.065)
O (0.667, 0.333, 0.435)


What did the third record say?
Dy2SO2 at its PBEsol-relaxed geometry. Source: Alexandria via LeMat-Bulk, functional meta-GGA SCAN.

Formation energy from raw total energies ... -3.540 eV/atom
Volume ... 16.1 Å³ per atom
Symmetry ... No. 194
Total magnetic moment ... 0.00 μB per cell

Cell lengths 3.749, 3.749, 13.191 Å; angles 90.00, 90.00, 120.00 degrees
Atoms (fractional coordinates):
Dy (0.333, 0.667, 0.108)
Dy (0.333, 0.667, 0.392)
Dy (0.667, 0.333, 0.608)
Dy (0.667, 0.333, 0.892)
S (0.000, 0.000, 0.250)
S (0.000, 0.000, 0.750)
O (0.333, 0.667, 0.565)
O (0.333, 0.667, 0.935)
O (0.667, 0.333, 0.065)
O (0.667, 0.333, 0.435)